An optimized crystal structure of HgWAuF2, computed with GGA+U.

Cell lengths 4.3371, 5.9238, 4.3371 Å; angles 90.00, 90.00, 90.00 degrees
Closest atoms and distances in Å follow each position.
Sites, in units of the cell vectors:
Au 0.0000 0.0000 0.0000  4 F 2.17
F 0.0000 0.0000 0.5000  2 Au 2.17
W 0.5000 0.5000 0.5000  4 Hg 3.07
Hg 0.0000 0.5000 0.0000  2 Au 2.96, 4 W 3.07
F 0.5000 0.0000 0.0000  2 Au 2.17

## Properties
* symmetry: P4/mmm
* electronic total energy: -2.81 eV per atom